(1)
The following is a GGA-PBE calculation of a relaxed Dy2CoRh crystal, from Alexandria via LeMat-Bulk.

The space group is R-3m (No. 166, hexagonal axes) and the conventional cell measures 3.3486, 3.3486 and 26.6414 Å, with angles of 90.00, 90.00 and 120.00 degrees. The distinct sites, in fractional coordinates, are Dy at (0.0000, 0.0000, 0.0962), Co at (0.0000, 0.0000, 0.5000) and Rh at (0.0000, 0.0000, 0.0000).

The total moment comes out at 0.405 μB/f.u. For the density of states at the Fermi level, the calculation gives 3.18 states/eV/f.u. The calculated formation energy comes out at 0.2290 eV per atom.

---

(2)
The following is a GGA-PBE calculation of a relaxed Dy3CoRh crystal, from Alexandria via LeMat-Bulk.

The space group is P-1 (No. 2) and the conventional cell measures 3.956, 7.521 and 7.954 Å, with angles of 87.16, 89.99 and 74.81 degrees. The distinct sites, in fractional coordinates, are Dy at (0.055, 0.390, 0.322), Dy at (0.237, 0.026, 0.683), Dy at (0.385, 0.728, 0.054), Co at (0.204, 0.093, 0.090) and Rh at (0.402, 0.695, 0.426).

The total moment comes out at 0.000 μB/f.u. For the density of states at the Fermi level, the calculation gives 3.52 states/eV/f.u. The value obtained for the energy above the most stable polymorph in this dataset is 0.033 eV/atom. The calculated formation energy comes out at -0.4366 eV per atom.

---

(3)
The following is a GGA-PBE calculation of a relaxed DyCoRh crystal, from Alexandria via LeMat-Bulk.

The space group is Amm2 (No. 38) and the conventional cell measures 3.002, 4.917 and 7.323 Å, with angles of 90.00, 90.00 and 90.00 degrees. The distinct sites, in fractional coordinates, are Dy at (0.000, 0.000, 0.000), Co at (0.500, 0.000, 0.654) and Rh at (0.000, 0.000, 0.368).

The total moment comes out at 1.669 μB/f.u. For the density of states at the Fermi level, the calculation gives 4.45 states/eV/f.u. The calculated formation energy comes out at 0.1189 eV per atom.

---

(4)
The following is a GGA-PBE calculation of a relaxed Dy2CoRh crystal, from Alexandria via LeMat-Bulk.

The space group is Pmma (No. 51) and the conventional cell measures 4.800, 3.377 and 9.578 Å, with angles of 90.00, 90.00 and 90.00 degrees. The distinct sites, in fractional coordinates, are Dy at (0.250, 0.000, 0.120), Dy at (0.250, 0.000, 0.630), Co at (0.250, 0.500, 0.875) and Rh at (0.250, 0.500, 0.375).

The total moment comes out at 0.502 μB/f.u. For the density of states at the Fermi level, the calculation gives 1.56 states/eV/f.u. The calculated formation energy comes out at -0.5074 eV per atom.

---

(5)
The following is a GGA-PBE calculation of a relaxed Dy12Co6Rh crystal, from Alexandria via LeMat-Bulk.

The space group is Im-3 (No. 204) and the conventional cell measures 9.518, 9.518 and 9.518 Å, with angles of 90.00, 90.00 and 90.00 degrees. The distinct sites, in fractional coordinates, are Dy at (0.000, 0.298, 0.192), Co at (0.000, 0.115, 0.500) and Rh at (0.000, 0.000, 0.000).

The total moment comes out at 0.000 μB/f.u. For the density of states at the Fermi level, the calculation gives 11.61 states/eV/f.u. The calculated formation energy comes out at -0.2328 eV per atom.

---

(6)
The following is a GGA-PBE calculation of a relaxed Dy2CoRh crystal, from Alexandria via LeMat-Bulk.

The space group is P4/mmm (No. 123) and the conventional cell measures 3.372, 3.372 and 6.836 Å, with angles of 90.00, 90.00 and 90.00 degrees. The distinct sites, in fractional coordinates, are Dy at (0.000, 0.000, 0.244), Co at (0.500, 0.500, 0.000) and Rh at (0.500, 0.500, 0.500).

The total moment comes out at 0.478 μB/f.u. For the density of states at the Fermi level, the calculation gives 1.14 states/eV/f.u. The calculated formation energy comes out at -0.5097 eV per atom.

---

(7)
The following is a GGA-PBE calculation of a relaxed Dy3CoRh crystal, from Alexandria via LeMat-Bulk.

The space group is P2_1/m (No. 11) and the conventional cell measures 7.547, 3.905 and 8.151 Å, with angles of 90.00, 109.33 and 90.00 degrees. The distinct sites, in fractional coordinates, are Dy at (0.090, 0.250, 0.236), Dy at (0.309, 0.250, 0.927), Dy at (0.359, 0.750, 0.597), Co at (0.052, 0.250, 0.576) and Rh at (0.362, 0.750, 0.196).

The total moment comes out at 0.000 μB/f.u. For the density of states at the Fermi level, the calculation gives 4.32 states/eV/f.u. The value obtained for the energy above the most stable polymorph in this dataset is 0.000 eV/atom. The calculated formation energy comes out at -0.4693 eV per atom.

---

(8)
The following is a GGA-PBE calculation of a relaxed Dy8CoRh2 crystal, from Alexandria via LeMat-Bulk.

The space group is Cm (No. 8) and the conventional cell measures 8.214, 12.457 and 6.065 Å, with angles of 90.00, 111.02 and 90.00 degrees. The distinct sites, in fractional coordinates, are Dy at (0.000, 0.000, 0.000), Dy at (0.060, 0.371, 0.800), Dy at (0.135, 0.130, 0.585), Dy at (0.205, 0.500, 0.368), Dy at (0.355, 0.201, 0.182), Co at (0.356, 0.000, 0.999) and Rh at (0.346, 0.313, 0.688).

The total moment comes out at 0.000 μB/f.u. For the density of states at the Fermi level, the calculation gives 10.89 states/eV/f.u. The calculated formation energy comes out at -0.2983 eV per atom.

---

(9)
The following is a GGA-PBE calculation of a relaxed Dy4Co3Rh crystal, from Alexandria via LeMat-Bulk.

The space group is Pmm2 (No. 25) and the conventional cell measures 3.924, 3.965 and 10.444 Å, with angles of 90.00, 90.00 and 90.00 degrees. The distinct sites, in fractional coordinates, are Dy at (0.000, 0.000, 0.000), Dy at (0.000, 0.500, 0.495), Dy at (0.500, 0.000, 0.711), Dy at (0.500, 0.500, 0.208), Co at (0.000, 0.000, 0.300), Co at (0.500, 0.000, 0.407), Co at (0.500, 0.500, 0.934) and Rh at (0.000, 0.500, 0.779).

The total moment comes out at 0.685 μB/f.u. For the density of states at the Fermi level, the calculation gives 5.03 states/eV/f.u. The calculated formation energy comes out at -0.3554 eV per atom.

---

(10)
The following is a GGA-PBE calculation of a relaxed Dy6CoRh5 crystal, from Alexandria via LeMat-Bulk.

The space group is Cmmm (No. 65) and the conventional cell measures 4.822, 14.477 and 6.837 Å, with angles of 90.00, 90.00 and 90.00 degrees. The distinct sites, in fractional coordinates, are Dy at (0.000, 0.000, 0.248), Dy at (0.000, 0.335, 0.249), Co at (0.000, 0.500, 0.000), Rh at (0.000, 0.167, 0.000), Rh at (0.000, 0.167, 0.500) and Rh at (0.000, 0.500, 0.500).

The total moment comes out at 0.632 μB/f.u. For the density of states at the Fermi level, the calculation gives 5.94 states/eV/f.u. The calculated formation energy comes out at -0.7499 eV per atom.

---

(11)
The following is a GGA-PBE calculation of a relaxed DyCoSi3Rh crystal, from Alexandria via LeMat-Bulk.

The space group is Cmcm (No. 63) and the conventional cell measures 6.068, 12.610 and 5.551 Å, with angles of 90.00, 90.00 and 90.00 degrees. The distinct sites, in fractional coordinates, are Dy at (0.000, 0.200, 0.250), Co at (0.000, 0.039, 0.750), Si at (0.000, 0.206, 0.750), Si at (0.213, 0.500, 0.000) and Rh at (0.000, 0.383, 0.750).

The total moment comes out at 0.000 μB/f.u. For the density of states at the Fermi level, the calculation gives 3.02 states/eV/f.u. For the formation energy (no corrections), the calculation gives -3.0 eV per formula unit.

---

(12)
The following is a GGA-PBE calculation of a relaxed DyCoSi2Rh crystal, from Alexandria via LeMat-Bulk.

The space group is I-4m2 (No. 119) and the conventional cell measures 3.966, 3.966 and 9.930 Å, with angles of 90.00, 90.00 and 90.00 degrees. The distinct sites, in fractional coordinates, are Dy at (0.000, 0.000, 0.000), Co at (0.000, 0.500, 0.750), Si at (0.000, 0.000, 0.376) and Rh at (0.000, 0.500, 0.250).

The total moment comes out at 0.000 μB/f.u. For the density of states at the Fermi level, the calculation gives 3.08 states/eV/f.u. For the formation energy (no corrections), the calculation gives -4.8 eV per formula unit.